[1]
Material: La2FeP
Method: DFT, PBE
State: relaxed

```
La2FeP
1.0
-1.279 -4.051 -2.464
3.437 -2.697 -2.244
1.188 -4.426 1.766
La Fe P
2 1 1
direct
0.250 0.250 0.250 La
0.000 0.000 0.000 La
0.500 0.500 0.500 Fe
0.750 0.750 0.750 P
```

formation energy	62	meV/atom
total magnetization	0.7	μB/cell
space-group type	F-43m
E	-23.48	eV per cell


[2]
Material: La2Fe2P
Method: DFT, PBE
State: relaxed

```
La2Fe2P
1.0
-0.806 -5.294 -6.015
7.990 -0.989 -0.200
-0.294 -2.900 2.591
Fe La P
4 4 2
direct
0.405 0.095 0.500 Fe
0.595 0.905 0.500 Fe
0.905 0.405 0.500 Fe
0.095 0.595 0.500 Fe
0.186 0.314 0.000 La
0.814 0.686 0.000 La
0.686 0.186 0.000 La
0.314 0.814 0.000 La
0.500 0.500 0.000 P
0.000 0.000 0.000 P
```

formation energy	163	meV/atom
total magnetization	9.7	μB/cell
space-group type	P4/mbm
E	-62.75	eV per cell


[3]
Material: La2FeP
Method: DFT, PBE
State: relaxed

```
La2FeP
1.0
4.106 0.000 0.000
0.000 4.160 0.001
0.000 2.079 5.567
La P Fe
2 1 1
direct
0.500 0.261 0.353 La
0.000 0.987 0.902 La
0.000 0.685 0.505 P
0.500 0.567 0.741 Fe
```

formation energy	-650	meV/atom
total magnetization	1.1	μB/cell
space-group type	Amm2
E	-26.33	eV per cell


[4]
Material: La12Fe5P
Method: DFT, PBE
State: relaxed

```
La12Fe5P
1.0
9.108 0.000 0.000
-4.554 7.888 0.000
0.000 0.000 6.997
La P Fe
12 1 5
direct
0.410 0.205 0.255 La
0.590 0.795 0.255 La
0.410 0.205 0.745 La
0.205 0.795 0.255 La
0.590 0.795 0.745 La
0.795 0.205 0.255 La
0.205 0.410 0.745 La
0.205 0.795 0.745 La
0.205 0.410 0.255 La
0.795 0.590 0.745 La
0.795 0.590 0.255 La
0.795 0.205 0.745 La
0.000 0.000 0.000 P
0.500 0.500 0.500 Fe
0.500 0.000 0.500 Fe
0.000 0.500 0.500 Fe
0.667 0.333 0.000 Fe
0.333 0.667 0.000 Fe
```

formation energy	222	meV/atom
total magnetization	0.0	μB/cell
space-group type	P6/mmm
E	-102.85	eV per cell


[5]
Material: La2FeP
Method: DFT, PBE
State: relaxed

```
La2FeP
1.0
6.012 0.000 0.000
0.000 6.012 0.000
3.006 3.006 6.371
P La Fe
2 4 2
direct
0.250 0.750 0.500 P
0.500 0.500 0.000 P
0.875 0.938 0.750 La
0.375 0.312 0.750 La
0.688 0.125 0.250 La
0.062 0.625 0.250 La
0.750 0.250 0.500 Fe
0.000 0.000 0.000 Fe
```

formation energy	110	meV/atom
total magnetization	0.0	μB/cell
space-group type	I-42d
E	-46.58	eV per cell


[6]
Material: LaFe2P
Method: DFT, PBE
State: relaxed

```
LaFe2P
1.0
3.107 0.000 0.000
0.000 3.108 0.000
0.000 0.000 6.766
La Fe P
1 2 1
direct
0.500 0.500 0.250 La
0.000 0.000 0.583 Fe
0.000 0.000 0.917 Fe
0.500 0.500 0.750 P
```

formation energy	51	meV/atom
total magnetization	3.8	μB/cell
space-group type	P4/mmm
E	-27.06	eV per cell